Entry 1:
Entry from the Alexandria database: a relaxed In3Ga2Au7 crystal (PBE).

## Properties
As for the calculated formation energy: -0.1052 eV/atom. For the volume, the calculation gives 252.01 Å³/cell.

a = 4.0840 Å, b = 4.0689 Å, c = 15.1870 Å
α = 90.00°, β = 93.06°, γ = 90.00°
Last column: nearest neighbours and their distance in Å.
Space group P2/m (No. 10)
Unique sites:
In  0.0000  0.0000  0.0000 [1 per cell]  12 Au 2.88-3.13
In  0.2713  0.5000  0.6028 [2 per cell]  4 Au 2.89-2.96, 2 Ga 3.19
Ga  0.0697  0.0000  0.2682 [2 per cell]  5 Au 2.53-2.70
Au  0.0317  0.5000  0.1553 [2 per cell]  2 Ga 2.66, 4 Au 2.86-2.90
Au  0.2475  0.0000  0.4306 [2 per cell]  1 Ga 2.53
Au  0.4623  0.0000  0.8453 [2 per cell]  2 Ga 2.64-2.70, 4 Au 2.86-2.90
Au  0.5000  0.5000  0.0000 [1 per cell]  4 In 2.88, 8 Au 3.11-3.12

=====

Entry 2:
Entry from the Alexandria database: a relaxed InGa2Au2 crystal (PBE).

## Properties
As for the calculated formation energy: -0.1036 eV/atom. The energy above the lowest structure with this stoichiometry comes out at 145 meV/atom. For the volume, the calculation gives 202.75 Å³/cell.

a = 7.7431 Å, b = 7.7431 Å, c = 3.3817 Å
α = 90.00°, β = 90.00°, γ = 90.00°
Last column: nearest neighbours and their distance in Å.
Space group P4/mbm (No. 127)
Unique sites:
In  0.0000  0.0000  0.0000 [2 per cell]  4 Au 3.02, 8 Ga 3.35
Ga  0.1652  0.3348  0.5000 [4 per cell]  6 Au 2.77-2.88
Au  0.1339  0.6339  0.0000 [4 per cell]  6 Ga 2.77-2.88, 1 Au 2.93, 2 In 3.02

=====

Entry 3:
Entry from the Alexandria database: a relaxed In5Ga3Au12 crystal (PBE).

## Properties
As for the calculated formation energy: -0.0009 eV/atom. For the volume, the calculation gives 3970.13 Å³/cell.

a = 15.8344 Å, b = 15.8344 Å, c = 15.8344 Å
α = 90.00°, β = 90.00°, γ = 90.00°
Last column: nearest neighbours and their distance in Å.
Space group Ia-3d (No. 230)
Unique sites:
In  0.0000  0.0000  0.0000 [16 per cell]  6 Au 2.76
In  0.0000  0.2500  0.3750 [24 per cell]  4 Au 2.74
Ga  0.0000  0.2500  0.1250 [24 per cell]  4 Au 2.62
Au  0.0137  0.0874  0.6502 [96 per cell]  1 Ga 2.62, 2 In 2.74-2.76, 1 Au 2.81

=====

Entry 4:
Entry from the Alexandria database: a relaxed In2GaAu crystal (PBE).

## Properties
As for the calculated formation energy: -0.0790 eV/atom. For the volume, the calculation gives 293.02 Å³/cell.

a = 4.5548 Å, b = 4.5548 Å, c = 16.3085 Å
α = 90.00°, β = 90.00°, γ = 120.00°
Last column: nearest neighbours and their distance in Å.
Space group R3m (No. 160, hexagonal axes)
Unique sites:
In  0.0000  0.0000  0.0000 [3 per cell]  3 Au 2.90, 3 Ga 2.99, 1 In 3.15
In  0.0000  0.0000  0.1934 [3 per cell]  3 Au 2.83, 3 Ga 3.15, 1 In 3.15
Ga  0.0000  0.0000  0.4209 [3 per cell]  1 Au 2.78, 3 In 2.99
Au  0.0000  0.0000  0.5915 [3 per cell]  1 Ga 2.78, 6 In 2.83-2.90

=====

Entry 5:
Entry from the Alexandria database: a relaxed InGa2Au crystal (PBE).

## Properties
As for the calculated formation energy: -0.0421 eV/atom. For the volume, the calculation gives 266.69 Å³/cell.

a = 3.3419 Å, b = 3.3419 Å, c = 27.5733 Å
α = 90.00°, β = 90.00°, γ = 120.00°
Last column: nearest neighbours and their distance in Å.
Space group R-3m (No. 166, hexagonal axes)
Unique sites:
In  0.0000  0.0000  0.0000 [3 per cell]  2 Ga 2.74
Ga  0.0000  0.0000  0.0993 [6 per cell]  3 Au 2.68, 1 In 2.74
Au  0.0000  0.0000  0.5000 [3 per cell]  6 Ga 2.68

=====

Entry 6:
Entry from the Alexandria database: a relaxed In12Ga5Au3 crystal (PBE).

## Properties
As for the calculated formation energy: 0.0359 eV/atom. For the volume, the calculation gives 4322.30 Å³/cell.

a = 16.2894 Å, b = 16.2894 Å, c = 16.2894 Å
α = 90.00°, β = 90.00°, γ = 90.00°
Last column: nearest neighbours and their distance in Å.
Space group Ia-3d (No. 230)
Unique sites:
In  0.0197  0.0796  0.6506 [96 per cell]  2 Ga 2.69-2.79, 1 Au 2.83
Ga  0.0000  0.0000  0.0000 [16 per cell]  6 In 2.79
Ga  0.0000  0.2500  0.3750 [24 per cell]  4 In 2.69
Au  0.0000  0.2500  0.1250 [24 per cell]  8 In 2.83-3.14

=====

Entry 7:
Entry from the Alexandria database: a relaxed InGa2Au5 crystal (PBE).

## Properties
As for the calculated formation energy: -0.1136 eV/atom. For the volume, the calculation gives 605.83 Å³/cell.

a = 8.8455 Å, b = 9.8665 Å, c = 6.9417 Å
α = 90.00°, β = 90.00°, γ = 90.00°
Last column: nearest neighbours and their distance in Å.
Space group Pbam (No. 55)
Unique sites:
In  0.0116  0.2157  0.0000 [4 per cell]  8 Au 2.81-3.01
Ga  0.0003  0.2275  0.5000 [4 per cell]  6 Au 2.61-2.91
Ga  0.0000  0.5000  0.2424 [4 per cell]  6 Au 2.62-2.72
Au  0.0000  0.0000  0.2802 [4 per cell]  2 Ga 2.71, 2 In 2.88, 2 Au 2.96
Au  0.2105  0.4131  0.5000 [4 per cell]  4 Ga 2.61-2.91
Au  0.2253  0.6712  0.2655 [8 per cell]  2 Ga 2.62-2.76
Au  0.2258  0.4267  0.0000 [4 per cell]  2 Ga 2.71, 2 In 2.81-2.89

=====

Entry 8:
Entry from the Alexandria database: a relaxed In3Ga4Au4 crystal (PBE).

## Properties
As for the calculated formation energy: -0.1705 eV/atom. For the volume, the calculation gives 460.80 Å³/cell.

a = 3.8340 Å, b = 8.2097 Å, c = 14.6397 Å
α = 90.00°, β = 90.00°, γ = 90.00°
Last column: nearest neighbours and their distance in Å.
Space group Immm (No. 71)
Unique sites:
In  0.0000  0.0000  0.0000 [2 per cell]  4 Au 2.93
In  0.0000  0.5000  0.1069 [4 per cell]  6 Au 3.09-3.11, 1 In 3.13, 4 Ga 3.24
Ga  0.0000  0.2946  0.3246 [8 per cell]  4 Au 2.62-2.81
Au  0.0000  0.0000  0.2276 [4 per cell]  6 Ga 2.66-2.81
Au  0.0000  0.2302  0.5000 [4 per cell]  2 Ga 2.62, 2 In 2.93

=====

- What is the formula in the second record?
  InGa2Au2

=====

- Among the records above, which one has the highest volume?
  In12Ga5Au3

=====

- Number 6 is which compound?
  In12Ga5Au3

=====

- Which of these has the highest volume?
  In12Ga5Au3